1.
Here is PrAgAu6 after structural relaxation from the Alexandria database. Energies are from PBE.

Lattice parameters (Å, degrees): 5.471 5.471 5.471 90.00 90.00 90.00
Element x y z (fractional)
Pr  0.000  0.000  0.000
Ag  0.500  0.500  0.500
Au  0.000  0.254  0.500
Au  0.000  0.746  0.500
Au  0.254  0.500  0.000
Au  0.500  0.000  0.254
Au  0.500  0.000  0.746
Au  0.746  0.500  0.000

Computed properties:
Total DFT energy (no corrections) (eV/cell): -29.38

---

2.
Here is Pr4Ag3Au5 after structural relaxation from the Alexandria database. Energies are from PBE.

Lattice parameters (Å, degrees): 5.041 5.041 14.171 95.31 95.31 63.64
Element x y z (fractional)
Pr  0.154  0.154  0.403
Pr  0.210  0.210  0.848
Pr  0.790  0.790  0.152
Pr  0.846  0.846  0.597
Ag  0.472  0.472  0.282
Ag  0.500  0.500  0.000
Ag  0.528  0.528  0.718
Au  0.000  0.000  0.000
Au  0.145  0.145  0.192
Au  0.198  0.198  0.626
Au  0.802  0.802  0.374
Au  0.855  0.855  0.808

Computed properties:
Total DFT energy (no corrections) (eV/cell): -48.98